[1]
The following is a DFT calculation (PBE-GGA) of a geometry-optimized HfScB3 structure.

**Symmetry**: Pm-3m (221)
**Energy of formation**: 932 meV per atom
**Total magnetization**: 0.0 μB/cell

Lattice parameters (Å, degrees): 4.2865 4.2865 4.2865 90.00 90.00 90.00
With the nearest neighbours (Å) after each atom.
Fractional positions:
Hf (0.0000, 0.0000, 0.0000)  6 B 2.14
Sc (0.5000, 0.5000, 0.5000)  12 B 3.03
B (0.0000, 0.0000, 0.5000)  2 Hf 2.14
B (0.0000, 0.5000, 0.0000)  2 Hf 2.14
B (0.5000, 0.0000, 0.0000)  2 Hf 2.14


[2]
The following is a DFT calculation (PBE-GGA) of a geometry-optimized Y2BiPt2 structure.

**Symmetry**: P4/mbm (127)
**Energy of formation**: -844 meV per atom
**Total magnetization**: 0.0 μB/cell

Lattice parameters (Å, degrees): 8.2883 8.2883 3.5304 90.00 90.00 90.00
With the nearest neighbours (Å) after each atom.
Fractional positions:
Y (0.1566, 0.3434, 0.0000)  6 Pt 2.95-3.09, 2 Bi 3.13
Y (0.3434, 0.8434, 0.0000)  6 Pt 2.95-3.09, 2 Bi 3.13
Y (0.6566, 0.1566, 0.0000)  6 Pt 2.95-3.09, 2 Bi 3.13
Y (0.8434, 0.6566, 0.0000)  6 Pt 2.95-3.09, 2 Bi 3.13
Bi (0.0000, 0.0000, 0.0000)  4 Y 3.13
Bi (0.5000, 0.5000, 0.0000)  4 Y 3.13
Pt (0.1269, 0.6269, 0.5000)  6 Y 2.95-3.09, 1 Pt 2.98
Pt (0.3731, 0.1269, 0.5000)  6 Y 2.95-3.09, 1 Pt 2.98
Pt (0.6269, 0.8731, 0.5000)  6 Y 2.95-3.09, 1 Pt 2.98
Pt (0.8731, 0.3731, 0.5000)  6 Y 2.95-3.09, 1 Pt 2.98


[3]
The following is a DFT calculation (PBE-GGA) of a geometry-optimized Pm2DyCl8 structure.

**Raw formation energy**: -22.1 eV per formula unit
**Symmetry**: C2/m (12)
**Total magnetization**: 1.0 μB/cell

Lattice parameters (Å, degrees): 7.4539 7.4539 5.7364 99.70 99.70 112.51
With the nearest neighbours (Å) after each atom.
Fractional positions:
Pm (0.1901, 0.8099, 0.0000)  6 Cl 2.76-2.99
Pm (0.8099, 0.1901, 0.0000)  6 Cl 2.76-2.99
Dy (0.5000, 0.5000, 0.5000)  4 Cl 2.69-2.79
Cl (0.1470, 0.1470, 0.3152)  1 Dy 2.79, 2 Pm 2.99
Cl (0.1638, 0.4243, 0.8977)  2 Pm 2.76-2.77
Cl (0.2833, 0.7167, 0.5000)  1 Dy 2.69
Cl (0.4243, 0.1638, 0.8977)  2 Pm 2.76-2.77
Cl (0.5757, 0.8362, 0.1023)  2 Pm 2.76-2.77
Cl (0.7167, 0.2833, 0.5000)  1 Dy 2.69
Cl (0.8362, 0.5757, 0.1023)  2 Pm 2.76-2.77
Cl (0.8530, 0.8530, 0.6848)  1 Dy 2.79, 2 Pm 2.99


[4]
The following is a DFT calculation (PBE-GGA) of a geometry-optimized AcGd2Ta structure.

**Symmetry**: R-3m (166)
**Energy of formation**: 765 meV per atom
**Total magnetization**: 44.6 μB/cell

Lattice parameters (Å, degrees): 3.4154 3.4154 36.2985 90.00 90.00 120.00
With the nearest neighbours (Å) after each atom.
Fractional positions:
Ac (0.0000, 0.0000, 0.0000)  6 Ac 3.42, 6 Gd 3.74
Ac (0.3333, 0.6667, 0.6667)  6 Ac 3.42, 6 Gd 3.74
Ac (0.6667, 0.3333, 0.3333)  6 Ac 3.42, 6 Gd 3.74
Gd (0.0000, 0.0000, 0.4210)  1 Ta 2.87
Gd (0.0000, 0.0000, 0.5790)  1 Ta 2.87
Gd (0.3333, 0.6667, 0.0877)  1 Ta 2.87
Gd (0.3333, 0.6667, 0.2457)  1 Ta 2.87
Gd (0.6667, 0.3333, 0.7543)  1 Ta 2.87
Gd (0.6667, 0.3333, 0.9123)  1 Ta 2.87
Ta (0.0000, 0.0000, 0.5000)  2 Gd 2.87
Ta (0.3333, 0.6667, 0.1667)  2 Gd 2.87
Ta (0.6667, 0.3333, 0.8333)  2 Gd 2.87


[5]
The following is a DFT calculation (PBE-GGA) of a geometry-optimized MgMnOs2 structure.

**Symmetry**: Cmmm (65)
**Energy of formation**: 268 meV per atom
**Total magnetization**: 5.2 μB/cell

Lattice parameters (Å, degrees): 2.9548 4.5435 8.7093 90.00 90.00 90.00
With the nearest neighbours (Å) after each atom.
Fractional positions:
Mg (0.0000, 0.0000, 0.0000)  6 Mg 2.71-2.95, 4 Os 2.74
Mg (0.5000, 0.5000, 0.0000)  6 Mg 2.71-2.95, 4 Os 2.74
Mn (0.0000, 0.0000, 0.5000)  4 Os 2.53, 4 Mn 2.71
Mn (0.5000, 0.5000, 0.5000)  4 Os 2.53, 4 Mn 2.71
Os (0.0000, 0.5000, 0.2647)  2 Mn 2.53, 4 Os 2.71, 2 Mg 2.74
Os (0.0000, 0.5000, 0.7353)  2 Mn 2.53, 4 Os 2.71, 2 Mg 2.74
Os (0.5000, 0.0000, 0.2647)  2 Mn 2.53, 4 Os 2.71, 2 Mg 2.74
Os (0.5000, 0.0000, 0.7353)  2 Mn 2.53, 4 Os 2.71, 2 Mg 2.74


[6]
The following is a DFT calculation (PBE-GGA) of a geometry-optimized Nd2Mg16Tl structure.

**Symmetry**: R3m (160)
**Energy of formation**: -70 meV per atom
**Total magnetization**: 0.0 μB/cell

Lattice parameters (Å, degrees): 7.8152 7.8152 7.8152 82.40 82.40 82.40
With the nearest neighbours (Å) after each atom.
Fractional positions:
Nd (0.0000, 0.0000, 0.0000)  16 Mg 3.57-3.82
Nd (0.3449, 0.3449, 0.3449)  1 Tl 3.42, 9 Mg 3.58-3.80
Mg (0.0222, 0.0222, 0.5158)  8 Mg 2.91-3.16
Mg (0.0222, 0.5158, 0.0222)  8 Mg 2.91-3.16
Mg (0.1715, 0.6750, 0.6750)  9 Mg 2.99-3.17, 1 Tl 3.14
Mg (0.3202, 0.3202, 0.8446)  8 Mg 2.91-3.17
Mg (0.3202, 0.8446, 0.3202)  8 Mg 2.91-3.17
Mg (0.3672, 0.6741, 0.9811)  8 Mg 2.99-3.17
Mg (0.3672, 0.9811, 0.6741)  8 Mg 2.99-3.17
Mg (0.5158, 0.0222, 0.0222)  8 Mg 2.91-3.16
Mg (0.6741, 0.3672, 0.9811)  8 Mg 2.99-3.17
Mg (0.6741, 0.9811, 0.3672)  8 Mg 2.99-3.17
Mg (0.6750, 0.1715, 0.6750)  9 Mg 2.99-3.17, 1 Tl 3.14
Mg (0.6750, 0.6750, 0.1715)  9 Mg 2.99-3.17, 1 Tl 3.14
Mg (0.7653, 0.7653, 0.7653)  1 Tl 2.98, 6 Mg 3.17-3.30
Mg (0.8446, 0.3202, 0.3202)  8 Mg 2.91-3.17
Mg (0.9811, 0.3672, 0.6741)  8 Mg 2.99-3.17
Mg (0.9811, 0.6741, 0.3672)  8 Mg 2.99-3.17
Tl (0.5697, 0.5697, 0.5697)  7 Mg 2.98-3.32


[7]
The following is a DFT calculation (PBE-GGA) of a geometry-optimized TaAl2Rh structure.

**Symmetry**: P4mm (99)
**Energy of formation**: -489 meV per atom
**Total magnetization**: 0.0 μB/cell

Lattice parameters (Å, degrees): 3.0702 3.0702 6.5094 90.00 90.00 90.00
With the nearest neighbours (Å) after each atom.
Fractional positions:
Ta (0.0000, 0.0000, 0.0000)  4 Al 2.76, 4 Rh 2.85, 4 Ta 3.07
Al (0.0000, 0.0000, 0.5159)  4 Rh 2.53, 4 Al 2.73
Al (0.5000, 0.5000, 0.2626)  4 Al 2.73, 4 Ta 2.76, 1 Rh 2.95
Rh (0.5000, 0.5000, 0.7153)  4 Al 2.53


[8]
The following is a DFT calculation (PBE-GGA) of a geometry-optimized MgAgIr structure.

**Symmetry**: F-43m (216)
**Energy of formation**: 420 meV per atom
**Total magnetization**: 0.0 μB/cell

Lattice parameters (Å, degrees): 6.2280 6.2280 6.2280 90.00 90.00 90.00
With the nearest neighbours (Å) after each atom.
Fractional positions:
Mg (0.0000, 0.0000, 0.0000)  4 Ir 2.70
Mg (0.0000, 0.5000, 0.5000)  4 Ir 2.70
Mg (0.5000, 0.0000, 0.5000)  4 Ir 2.70
Mg (0.5000, 0.5000, 0.0000)  4 Ir 2.70
Ag (0.0000, 0.0000, 0.5000)  4 Ir 2.70
Ag (0.0000, 0.5000, 0.0000)  4 Ir 2.70
Ag (0.5000, 0.0000, 0.0000)  4 Ir 2.70
Ag (0.5000, 0.5000, 0.5000)  4 Ir 2.70
Ir (0.2500, 0.2500, 0.2500)  4 Mg 2.70, 4 Ag 2.70
Ir (0.2500, 0.7500, 0.7500)  4 Mg 2.70, 4 Ag 2.70
Ir (0.7500, 0.2500, 0.7500)  4 Mg 2.70, 4 Ag 2.70
Ir (0.7500, 0.7500, 0.2500)  4 Mg 2.70, 4 Ag 2.70


| no. | raw total energy (eV for the cell shown) |
| --- | --- |
| 1 | -31.7 |
| 2 | -66.2 |
| 3 | -51.0 |
| 4 | -123.2 |
| 5 | -64.3 |
| 6 | -38.7 |
| 7 | -28.6 |
| 8 | -48.2 |